## Si2AsBr (PBE-GGA)

Data for a relaxed Si2AsBr crystal.

The crystal system is monoclinic. The calculation puts the uncorrected formation energy at 0.375 eV per atom. As for the calculated volume: 21.83 Å³/atom.

```
Si2AsBr
1.0
-0.335 -3.324 1.857
4.275 -0.826 -0.708
2.916 2.033 4.165
Si As Br
2 1 1
Direct
0.000 0.491 0.439 Si
0.000 0.009 0.061 Si
0.500 0.250 0.250 As
0.500 0.750 0.750 Br
```

## BeHgAu2 (PBE-GGA)

Data for a relaxed BeHgAu2 crystal.

The crystal system is tetragonal. As for the calculated volume: 17.06 Å³/atom. As for the formation enthalpy at 0 K: 0.2108 eV per atom.

```
BeHgAu2
1.0
-2.673 3.807 2.085
-4.855 0.035 -1.553
3.058 -3.606 1.906
Au Be Hg
2 1 1
Direct
0.000 0.000 0.000 Au
0.250 0.750 0.500 Au
0.500 0.500 0.000 Be
0.750 0.250 0.500 Hg
```

## Dy15Y4Tl (PBE-GGA)

Data for a relaxed Dy15Y4Tl crystal.

The crystal system is tetragonal. As for the calculated volume: 31.07 Å³/atom. As for the formation enthalpy at 0 K: -0.0156 eV per atom.

```
Dy15Y4Tl
1.0
-0.336 1.688 4.658
0.696 -4.606 1.720
24.891 3.905 0.382
Dy Y Tl
15 4 1
Direct
0.500 0.500 0.804 Dy
0.500 0.000 0.903 Dy
0.000 0.500 0.500 Dy
0.500 0.500 0.196 Dy
0.500 0.500 0.000 Dy
0.500 0.000 0.500 Dy
0.500 0.000 0.298 Dy
0.500 0.500 0.399 Dy
0.000 0.500 0.298 Dy
0.500 0.000 0.097 Dy
0.500 0.000 0.702 Dy
0.000 0.500 0.702 Dy
0.000 0.500 0.903 Dy
0.000 0.500 0.097 Dy
0.500 0.500 0.601 Dy
0.000 0.000 0.802 Y
0.000 0.000 0.198 Y
0.000 0.000 0.399 Y
0.000 0.000 0.601 Y
0.000 0.000 0.000 Tl
```

## La3Pm3Ag4 (PBE-GGA)

Data for a relaxed La3Pm3Ag4 crystal.

The crystal system is orthorhombic. As for the calculated volume: 29.31 Å³/atom. As for the formation enthalpy at 0 K: -0.1845 eV per atom.

```
La3Pm3Ag4
1.0
3.926 0.000 0.000
0.000 8.640 0.015
0.000 0.091 8.640
Pm Ag La
3 4 3
Direct
0.500 0.173 0.827 Pm
0.000 0.998 0.503 Pm
0.000 0.497 0.002 Pm
0.000 0.373 0.627 Ag
0.000 0.623 0.377 Ag
0.000 0.882 0.873 Ag
0.000 0.127 0.118 Ag
0.500 0.833 0.167 La
0.500 0.668 0.674 La
0.500 0.326 0.332 La
```

Number 1: N(E_F) 1.4 states/eV per cell. Number 2: N(E_F) 0.6 states/eV per cell. Number 3: N(E_F) 24.5 states/eV per cell. Number 4: N(E_F) 12.0 states/eV per cell.